Entry 1:
Below is a relaxed Na2Sb3O8 crystal, with properties calculated at the GGA-PBEsol level.

```
Na2Sb3O8
1.0
9.246 0.000 0.000
0.000 9.246 0.000
0.000 0.000 9.246
Na Sb O
8 12 32
direct
0.009 0.009 0.009 Na
0.241 0.241 0.241 Na
0.259 0.759 0.741 Na
0.491 0.991 0.509 Na
0.509 0.491 0.991 Na
0.741 0.259 0.759 Na
0.759 0.741 0.259 Na
0.991 0.509 0.491 Na
0.116 0.134 0.625 Sb
0.125 0.384 0.866 Sb
0.134 0.625 0.116 Sb
0.366 0.375 0.616 Sb
0.375 0.616 0.366 Sb
0.384 0.866 0.125 Sb
0.616 0.366 0.375 Sb
0.625 0.116 0.134 Sb
0.634 0.875 0.884 Sb
0.866 0.125 0.384 Sb
0.875 0.884 0.634 Sb
0.884 0.634 0.875 Sb
0.079 0.148 0.408 O
0.092 0.921 0.648 O
0.102 0.171 0.842 O
0.115 0.615 0.885 O
0.135 0.365 0.635 O
0.148 0.408 0.079 O
0.158 0.602 0.329 O
0.171 0.842 0.102 O
0.329 0.158 0.602 O
0.342 0.398 0.829 O
0.352 0.592 0.579 O
0.365 0.635 0.135 O
0.385 0.385 0.385 O
0.398 0.829 0.342 O
0.408 0.079 0.148 O
0.421 0.852 0.908 O
0.579 0.352 0.592 O
0.592 0.579 0.352 O
0.602 0.329 0.158 O
0.615 0.885 0.115 O
0.635 0.135 0.365 O
0.648 0.092 0.921 O
0.658 0.898 0.671 O
0.671 0.658 0.898 O
0.829 0.342 0.398 O
0.842 0.102 0.171 O
0.852 0.908 0.421 O
0.865 0.865 0.865 O
0.885 0.115 0.615 O
0.898 0.671 0.658 O
0.908 0.421 0.852 O
0.921 0.648 0.092 O
```

Results
The energy relative to the elements, uncorrected comes out at -1501 meV/atom.

---

Entry 2:
Below is a relaxed NaSbO3 crystal, with properties calculated at the GGA-PBEsol level.

```
NaSbO3
1.0
5.380 0.000 0.000
0.000 5.458 0.000
0.000 0.000 8.509
Na Sb O
4 4 12
direct
0.250 0.000 0.181 Na
0.250 0.500 0.319 Na
0.750 0.000 0.819 Na
0.750 0.500 0.681 Na
0.250 0.000 0.596 Sb
0.250 0.500 0.904 Sb
0.750 0.000 0.404 Sb
0.750 0.500 0.096 Sb
0.068 0.183 0.421 O
0.068 0.317 0.079 O
0.117 0.250 0.750 O
0.383 0.750 0.750 O
0.432 0.683 0.079 O
0.432 0.817 0.421 O
0.568 0.183 0.579 O
0.568 0.317 0.921 O
0.617 0.250 0.250 O
0.883 0.750 0.250 O
0.932 0.683 0.921 O
0.932 0.817 0.579 O
```

Results
The energy relative to the elements, uncorrected comes out at -1618 meV/atom.

---

Entry 3:
Below is a relaxed Na2Sb4O11 crystal, with properties calculated at the GGA-PBEsol level.

```
Na2Sb4O11
1.0
9.940 -3.789 0.000
9.940 3.789 0.000
-0.778 0.000 7.173
Na Sb O
4 8 22
direct
0.039 0.039 0.268 Na
0.269 0.269 0.913 Na
0.731 0.731 0.087 Na
0.961 0.961 0.732 Na
0.068 0.583 0.558 Sb
0.417 0.932 0.442 Sb
0.424 0.424 0.380 Sb
0.430 0.430 0.898 Sb
0.570 0.570 0.102 Sb
0.576 0.576 0.620 Sb
0.583 0.068 0.558 Sb
0.932 0.417 0.442 Sb
0.034 0.444 0.669 O
0.155 0.667 0.430 O
0.156 0.156 0.361 O
0.176 0.566 0.807 O
0.325 0.675 0.000 O
0.332 0.332 0.478 O
0.333 0.845 0.570 O
0.382 0.382 0.125 O
0.434 0.824 0.193 O
0.444 0.034 0.669 O
0.477 0.477 0.654 O
0.523 0.523 0.346 O
0.556 0.966 0.331 O
0.566 0.176 0.807 O
0.618 0.618 0.875 O
0.667 0.155 0.430 O
0.668 0.668 0.522 O
0.675 0.325 0.000 O
0.824 0.434 0.193 O
0.844 0.844 0.639 O
0.845 0.333 0.570 O
0.966 0.556 0.331 O
```

Results
The value obtained for the relative energy among the computed polymorphs is 0.061 eV per atom. The energy relative to the elements, uncorrected comes out at -1466 meV/atom.

---

Entry 4:
Below is a relaxed NaSb3O8 crystal, with properties calculated at the GGA-PBEsol level.

```
NaSb3O8
1.0
5.711 0.000 0.000
0.000 4.825 0.000
-1.387 0.000 10.489
Na Sb O
2 6 16
direct
0.000 0.000 0.000 Na
0.000 0.500 0.500 Na
0.242 0.023 0.750 Sb
0.242 0.477 0.250 Sb
0.500 0.000 0.500 Sb
0.500 0.500 0.000 Sb
0.758 0.523 0.750 Sb
0.758 0.977 0.250 Sb
0.001 0.706 0.315 O
0.001 0.794 0.815 O
0.233 0.648 0.080 O
0.233 0.852 0.580 O
0.296 0.208 0.916 O
0.296 0.292 0.416 O
0.483 0.724 0.827 O
0.483 0.776 0.327 O
0.517 0.224 0.673 O
0.517 0.276 0.173 O
0.704 0.708 0.584 O
0.704 0.792 0.084 O
0.767 0.148 0.420 O
0.767 0.352 0.920 O
0.999 0.206 0.185 O
0.999 0.294 0.685 O
```

Results
The value obtained for the relative energy among the computed polymorphs is 0.000 eV per atom. The energy relative to the elements, uncorrected comes out at -1466 meV/atom.